{
  "formula": "InCuPb",
  "functional": "PBE",
  "state": "relaxed",
  "cell": [[3.766, -2.174, 0.000], [0.000, 4.349, 0.000], [0.000, 0.000, 12.007]],
  "species": ["Pb", "Pb", "Cu", "Cu", "In", "In"],
  "fractional_positions": [[0.000, 0.000, 0.000], [0.000, 0.000, 0.500], [0.333, 0.667, 0.250], [0.667, 0.333, 0.750], [0.000, 0.000, 0.250], [0.000, 0.000, 0.750]],
  "rho_g_cm3": 6.51,
  "space_group": "P6_3/mmc, No. 194",
  "n_ef_per_ev_cell": 3.857,
  "magmom_total_mub_per_cell": 0.0,
  "crystal_system": "hexagonal",
  "formation_enthalpy_0k_kj_per_mol_atoms": 62.40
}